P:
A plane-wave DFT calculation with SCAN was carried out for a PBEsol-optimized structure of KCuSe3.

a = 5.428 Å, b = 5.428 Å, c = 5.428 Å
α = 90.00°, β = 90.00°, γ = 90.00°
Fractional coordinates of all 5 atoms:
K: 0.000 0.000 0.000
Cu: 0.500 0.500 0.500
Se: 0.000 0.000 0.500
Se: 0.000 0.500 0.000
Se: 0.500 0.000 0.000

Computed properties:
DOS at the Fermi energy ... 1.081 states/eV per atom

---

Q:
A plane-wave DFT calculation with SCAN was carried out for a PBEsol-optimized structure of KCuSe3.

a = 4.859 Å, b = 4.859 Å, c = 4.859 Å
α = 90.00°, β = 90.00°, γ = 90.00°
Fractional coordinates of all 5 atoms:
K: 0.000 0.000 0.000
Cu: 0.500 0.500 0.500
Se: 0.000 0.500 0.500
Se: 0.500 0.000 0.500
Se: 0.500 0.500 0.000

Computed properties:
DOS at the Fermi energy ... 0.825 states/eV per atom

---

Referenced to the most stable arrangement, the calculated values in meV per atom are P 1577; Q 0.

---

P:
A plane-wave DFT calculation with SCAN was carried out for a PBEsol-optimized structure of KCuSi2.

a = 2.802 Å, b = 3.585 Å, c = 7.381 Å
α = 90.00°, β = 90.00°, γ = 90.00°
Fractional coordinates of all 4 atoms:
K: 0.000 0.000 0.000
Cu: 0.500 0.500 0.655
Si: 0.000 0.000 0.522
Si: 0.500 0.500 0.330

Computed properties:
DOS at the Fermi energy ... 0.271 states/eV per atom

---

Q:
A plane-wave DFT calculation with SCAN was carried out for a PBEsol-optimized structure of KCuSi2.

a = 3.185 Å, b = 3.185 Å, c = 7.371 Å
α = 90.00°, β = 90.00°, γ = 90.00°
Fractional coordinates of all 4 atoms:
K: 0.000 0.000 0.000
Cu: 0.000 0.000 0.500
Si: 0.500 0.500 0.337
Si: 0.500 0.500 0.663

Computed properties:
DOS at the Fermi energy ... 0.346 states/eV per atom

---

R:
A plane-wave DFT calculation with SCAN was carried out for a PBEsol-optimized structure of KCuSi2.

a = 3.896 Å, b = 3.896 Å, c = 19.815 Å
α = 90.00°, β = 90.00°, γ = 120.00°
Fractional coordinates of all 12 atoms:
K: 0.000 0.000 0.000
K: 0.333 0.667 0.667
K: 0.667 0.333 0.333
Cu: 0.000 0.000 0.175
Cu: 0.333 0.667 0.842
Cu: 0.667 0.333 0.508
Si: 0.000 0.000 0.539
Si: 0.000 0.000 0.798
Si: 0.333 0.667 0.206
Si: 0.333 0.667 0.464
Si: 0.667 0.333 0.131
Si: 0.667 0.333 0.872

Computed properties:
DOS at the Fermi energy ... 0.119 states/eV per atom

---

Referenced to the most stable arrangement, the calculated values in meV per atom are P 296; Q 204; R 0.

---

P:
A plane-wave DFT calculation with SCAN was carried out for a PBEsol-optimized structure of KTaCu2.

a = 8.621 Å, b = 2.676 Å, c = 7.148 Å
α = 90.00°, β = 94.90°, γ = 90.00°
Fractional coordinates of all 8 atoms:
K: 0.000 0.000 0.000
K: 0.500 0.500 0.000
Ta: 0.000 0.500 0.500
Ta: 0.500 0.000 0.500
Cu: 0.242 0.000 0.654
Cu: 0.258 0.500 0.346
Cu: 0.742 0.500 0.654
Cu: 0.758 0.000 0.346

Computed properties:
DOS at the Fermi energy ... 0.492 states/eV per atom

---

Q:
A plane-wave DFT calculation with SCAN was carried out for a PBEsol-optimized structure of KTaCu2.

a = 3.130 Å, b = 3.130 Å, c = 7.817 Å
α = 90.00°, β = 90.00°, γ = 90.00°
Fractional coordinates of all 4 atoms:
K: 0.000 0.000 0.000
Ta: 0.000 0.000 0.500
Cu: 0.500 0.500 0.321
Cu: 0.500 0.500 0.679

Computed properties:
DOS at the Fermi energy ... 0.633 states/eV per atom

---

R:
A plane-wave DFT calculation with SCAN was carried out for a PBEsol-optimized structure of KTaCu2.

a = 2.628 Å, b = 5.133 Å, c = 5.132 Å
α = 90.00°, β = 90.00°, γ = 90.00°
Fractional coordinates of all 4 atoms:
K: 0.000 0.000 0.000
Ta: 0.000 0.500 0.499
Cu: 0.500 0.000 0.500
Cu: 0.500 0.500 0.999

Computed properties:
DOS at the Fermi energy ... 0.787 states/eV per atom

---

Referenced to the most stable arrangement, the calculated values in meV per atom are P 158; Q 0; R 235.

---

P:
A plane-wave DFT calculation with SCAN was carried out for a PBEsol-optimized structure of K2TlCu.

a = 8.076 Å, b = 8.076 Å, c = 8.076 Å
α = 90.00°, β = 90.00°, γ = 90.00°
Fractional coordinates of all 16 atoms:
K: 0.250 0.250 0.250
K: 0.250 0.250 0.750
K: 0.250 0.750 0.250
K: 0.250 0.750 0.750
K: 0.750 0.250 0.250
K: 0.750 0.250 0.750
K: 0.750 0.750 0.250
K: 0.750 0.750 0.750
Tl: 0.000 0.000 0.000
Tl: 0.000 0.500 0.500
Tl: 0.500 0.000 0.500
Tl: 0.500 0.500 0.000
Cu: 0.000 0.000 0.500
Cu: 0.000 0.500 0.000
Cu: 0.500 0.000 0.000
Cu: 0.500 0.500 0.500

Computed properties:
DOS at the Fermi energy ... 0.743 states/eV per atom

---

Q:
A plane-wave DFT calculation with SCAN was carried out for a PBEsol-optimized structure of K2TlCu.

a = 4.592 Å, b = 5.126 Å, c = 12.182 Å
α = 90.00°, β = 90.00°, γ = 90.00°
Fractional coordinates of all 8 atoms:
K: 0.000 0.000 0.000
K: 0.000 0.500 0.500
K: 0.500 0.000 0.300
K: 0.500 0.500 0.800
Tl: 0.000 0.000 0.699
Tl: 0.000 0.500 0.199
Cu: 0.500 0.000 0.602
Cu: 0.500 0.500 0.102

Computed properties:
DOS at the Fermi energy ... 0.617 states/eV per atom

---

Referenced to the most stable arrangement, the calculated values in meV per atom are P 265; Q 0.

---

P:
A plane-wave DFT calculation with SCAN was carried out for a PBEsol-optimized structure of La5Cu3.

a = 8.684 Å, b = 8.684 Å, c = 8.684 Å
α = 97.22°, β = 97.22°, γ = 138.46°
Fractional coordinates of all 16 atoms:
La: 0.092 0.788 0.881
La: 0.212 0.092 0.304
La: 0.250 0.750 0.500
La: 0.288 0.592 0.881
La: 0.408 0.288 0.696
La: 0.592 0.712 0.304
La: 0.712 0.408 0.119
La: 0.750 0.250 0.500
La: 0.788 0.908 0.696
La: 0.908 0.212 0.119
Cu: 0.157 0.343 0.500
Cu: 0.250 0.250 0.000
Cu: 0.343 0.843 0.185
Cu: 0.657 0.157 0.815
Cu: 0.750 0.750 0.000
Cu: 0.843 0.657 0.500

Computed properties:
DOS at the Fermi energy ... 1.070 states/eV per atom

---

Q:
A plane-wave DFT calculation with SCAN was carried out for a PBEsol-optimized structure of La5Cu3.

a = 8.450 Å, b = 8.450 Å, c = 6.760 Å
α = 90.00°, β = 90.00°, γ = 120.00°
Fractional coordinates of all 16 atoms:
La: 0.000 0.243 0.250
La: 0.000 0.757 0.750
La: 0.243 0.000 0.250
La: 0.243 0.243 0.750
La: 0.333 0.667 0.000
La: 0.333 0.667 0.500
La: 0.667 0.333 0.000
La: 0.667 0.333 0.500
La: 0.757 0.000 0.750
La: 0.757 0.757 0.250
Cu: 0.000 0.398 0.750
Cu: 0.000 0.602 0.250
Cu: 0.398 0.000 0.750
Cu: 0.398 0.398 0.250
Cu: 0.602 0.000 0.250
Cu: 0.602 0.602 0.750

Computed properties:
DOS at the Fermi energy ... 0.815 states/eV per atom

---

Referenced to the most stable arrangement, the calculated values in meV per atom are P 38; Q 0.

---

P:
A plane-wave DFT calculation with SCAN was carried out for a PBEsol-optimized structure of LiLa2Cu.

a = 3.690 Å, b = 3.690 Å, c = 7.558 Å
α = 90.00°, β = 90.00°, γ = 90.00°
Fractional coordinates of all 4 atoms:
Li: 0.000 0.000 0.000
La: 0.500 0.500 0.290
La: 0.500 0.500 0.710
Cu: 0.000 0.000 0.500

Computed properties:
DOS at the Fermi energy ... 0.877 states/eV per atom

---

Q:
A plane-wave DFT calculation with SCAN was carried out for a PBEsol-optimized structure of LiLa2Cu.

a = 7.321 Å, b = 7.321 Å, c = 7.321 Å
α = 90.00°, β = 90.00°, γ = 90.00°
Fractional coordinates of all 16 atoms:
Li: 0.000 0.000 0.000
Li: 0.000 0.500 0.500
Li: 0.500 0.000 0.500
Li: 0.500 0.500 0.000
La: 0.250 0.250 0.250
La: 0.250 0.250 0.750
La: 0.250 0.750 0.250
La: 0.250 0.750 0.750
La: 0.750 0.250 0.250
La: 0.750 0.250 0.750
La: 0.750 0.750 0.250
La: 0.750 0.750 0.750
Cu: 0.000 0.000 0.500
Cu: 0.000 0.500 0.000
Cu: 0.500 0.000 0.000
Cu: 0.500 0.500 0.500

Computed properties:
DOS at the Fermi energy ... 0.953 states/eV per atom

---

Referenced to the most stable arrangement, the calculated values in meV per atom are P 0; Q 65.